VASP calculation (PBE) on an optimized crystal structure of Rb2SiNiC.

The density of states at the Fermi level comes out at 0.86 states/eV/atom. For the formation energy without anion corrections, the calculation gives 0.93 eV per atom. The total magnetization is 0.277 μB per atom.

The space group is P4/mmm (No. 123) and the conventional cell measures 6.4863, 6.4863 and 3.5643 Å, with angles of 90.00, 90.00 and 90.00 degrees. Symmetry generates all atoms from Rb at (0.0000, 0.5000, 0.0000), Si at (0.0000, 0.0000, 0.5000), Ni at (0.5000, 0.5000, 0.0000) and C at (0.5000, 0.5000, 0.5000).